Here is a relaxed LuHfNp crystal from OQMD via LeMat-Bulk. Energies are from PBE.

Electronic total energy   -95.592 eV/cell
Space group   F-43m, No. 216
Density   11.95 g/cm³
E_form   1117 meV/atom

abc: 6.898 6.898 6.898
angles: 90.00 90.00 90.00
Element x y z (fractional)
Lu1 0.000 0.000 0.000
Lu2 0.000 0.500 0.500
Lu3 0.500 0.000 0.500
Lu4 0.500 0.500 0.000
Hf1 0.250 0.250 0.250
Hf2 0.250 0.750 0.750
Hf3 0.750 0.250 0.750
Hf4 0.750 0.750 0.250
Np1 0.000 0.000 0.500
Np2 0.000 0.500 0.000
Np3 0.500 0.000 0.000
Np4 0.500 0.500 0.500


Here is a relaxed ZrPb crystal from OQMD via LeMat-Bulk. Energies are from PBE.

Electronic total energy   -42.527 eV/cell
Space group   F-43m, No. 216
Density   6.79 g/cm³

abc: 6.634 6.634 6.634
angles: 90.00 90.00 90.00
Element x y z (fractional)
Zr1 0.000 0.000 0.000
Zr2 0.000 0.500 0.500
Zr3 0.500 0.000 0.500
Zr4 0.500 0.500 0.000
Pb1 0.250 0.250 0.250
Pb2 0.250 0.750 0.750
Pb3 0.750 0.250 0.750
Pb4 0.750 0.750 0.250


> Which formula does entry 1 have?

LuHfNp


> Which value of electronic total energy does entry 1 give?

-95.592 eV/cell


Please write out number 1 again, unchanged.
Here is a relaxed LuHfNp crystal from OQMD via LeMat-Bulk. Energies are from PBE.

Electronic total energy   -95.592 eV/cell
Space group   F-43m, No. 216
Density   11.95 g/cm³
E_form   1117 meV/atom

abc: 6.898 6.898 6.898
angles: 90.00 90.00 90.00
Element x y z (fractional)
Lu1 0.000 0.000 0.000
Lu2 0.000 0.500 0.500
Lu3 0.500 0.000 0.500
Lu4 0.500 0.500 0.000
Hf1 0.250 0.250 0.250
Hf2 0.250 0.750 0.750
Hf3 0.750 0.250 0.750
Hf4 0.750 0.750 0.250
Np1 0.000 0.000 0.500
Np2 0.000 0.500 0.000
Np3 0.500 0.000 0.000
Np4 0.500 0.500 0.500


> Which value of electronic total energy does entry 1 give?

-95.592 eV/cell